Sr2SiTe5: optimized geometry, PBE.

The structure belongs to space group Cm (No. 8); the cell edges are 11.572, 8.006 and 8.107 Å and the angles 90.00°, 132.70° and 90.00°. The asymmetric unit holds Sr at (0.000, 0.000, 0.000), Sr at (0.000, 0.500, 0.492), Si at (0.176, 0.000, 0.718), Te at (0.245, 0.242, 0.984), Te at (0.260, 0.224, 0.527) and Te at (0.355, 0.500, 0.401).

=====

SnBiO2: optimized geometry, PBE.

The value obtained for the relative energy among the computed polymorphs is 587 meV per atom.

The structure belongs to space group Fm-3m (No. 225); the cell edges are 6.335, 6.335 and 6.335 Å and the angles 90.00°, 90.00° and 90.00°. The asymmetric unit holds Sn at (0.000, 0.000, 0.000), Bi at (0.000, 0.000, 0.500) and O at (0.250, 0.250, 0.250).

=====

K3CI: optimized geometry, PBE.

The value obtained for the relative energy among the computed polymorphs is 0 meV per atom.

The structure belongs to space group Pm-3m (No. 221); the cell edges are 5.747, 5.747 and 5.747 Å and the angles 90.00°, 90.00° and 90.00°. The asymmetric unit holds K at (0.000, 0.000, 0.500), C at (0.000, 0.000, 0.000) and I at (0.500, 0.500, 0.500).

=====

no.,formation energy (no corrections) (meV per atom),D(E_F) (states/eV per cell)
1,-743,1.089
2,-374,6.358
3,275,3.757